A geometry-optimized TbCeTcPd structure. Source: the Alexandria database, functional GGA-PBE.

Structure (POSCAR):
```
TbCeTcPd
1.0
4.934 0.000 0.000
2.467 4.273 0.000
2.467 1.424 4.028
Tb Pd Ce Tc
1 1 1 1
Cartesian
2.467 1.424 1.007 Tb
4.934 2.849 2.014 Pd
7.401 4.273 3.021 Ce
0.000 0.000 0.000 Tc
```

Summary:
The value obtained for the density of states at the Fermi level is 0.727 states/eV/atom. For the total moment, the calculation gives 0.000 μB/atom. As for the crystal system: cubic. The total energy is -6.879 eV/atom. As for the symmetry: No. 216. The volume is 84.9 Å³/cell. The value obtained for the formation energy is -0.349 eV per atom.